The following is a DFT calculation (PBE-GGA) of crystalline LaSm7Er2 at its relaxed geometry.

Calculated values
DFT formation energy in eV per atom: 0.038
Crystal system: monoclinic
Space-group type: C2/m (12)
ρ in g/cm3: 7.54

Lattice parameters (Å, degrees): 5.713 9.137 8.902 110.91 108.69 51.33
Sites, in units of the cell vectors:
Sm  0.298  0.301  0.199
Sm  0.702  0.699  0.801
Sm  0.500  0.500  0.000
Sm  0.200  0.201  0.802
Sm  0.143  0.644  0.575
Sm  0.857  0.356  0.425
Sm  0.800  0.799  0.198
Er  0.643  0.143  0.573
Er  0.357  0.857  0.427
La  0.000  0.000  0.000

The following is a DFT calculation (PBE-GGA) of crystalline FeSi2Ir at its relaxed geometry.

Calculated values
Crystal system: monoclinic
Formation energy (no corrections) in eV per atom: -0.365
Space-group type: C2/m (12)
ρ in g/cm3: 10.15

Lattice parameters (Å, degrees): 4.070 4.070 4.772 79.14 79.14 40.00
Last column: magnetic moment on the atom in μB.
Sites, in units of the cell vectors:
Si  0.995  0.995  0.025  -0.01
Si  0.505  0.505  0.475  -0.01
Fe  0.250  0.250  0.250  0.32
Ir  0.750  0.750  0.750  0.04

The following is a DFT calculation (PBE-GGA) of crystalline NiMo2Br at its relaxed geometry.

Calculated values
Crystal system: orthorhombic
Formation energy (no corrections) in eV per atom: 0.510
Space-group type: Cmm2 (35)
ρ in g/cm3: 8.26

Lattice parameters (Å, degrees): 2.947 2.947 8.243 90.00 90.00 111.93
Sites, in units of the cell vectors:
Mo  0.000  0.000  0.020
Mo  0.500  0.500  0.258
Br  0.500  0.500  0.740
Ni  0.000  0.000  0.481

The lowest ρ belongs to which entry?
LaSm7Er2

What did the third record say?
The following is a DFT calculation (PBE-GGA) of crystalline NiMo2Br at its relaxed geometry.

Calculated values
Crystal system: orthorhombic
Formation energy (no corrections) in eV per atom: 0.510
Space-group type: Cmm2 (35)
ρ in g/cm3: 8.26

Lattice parameters (Å, degrees): 2.947 2.947 8.243 90.00 90.00 111.93
Sites, in units of the cell vectors:
Mo  0.000  0.000  0.020
Mo  0.500  0.500  0.258
Br  0.500  0.500  0.740
Ni  0.000  0.000  0.481

ρ of number 1 (LaSm7Er2)?
7.54 g/cm3

Which of these has the lowest ρ?
LaSm7Er2